Crystalline ZnSnO2F at its relaxed geometry, computed with PBE.

The symmetry is P4/mmm (123). Its uncorrected formation energy is -1.11 eV per atom.

a b c (Å): 3.9725 3.9725 4.0342
angles (deg): 90.00 90.00 90.00
Atoms (fractional coordinates):
Zn 0.0000 0.0000 0.0000
Sn 0.5000 0.5000 0.5000
O 0.0000 0.5000 0.0000
O 0.5000 0.0000 0.0000
F 0.0000 0.0000 0.5000


Crystalline K2HRu at its relaxed geometry, computed with PBE.

The symmetry is Fm-3m (225). As for the total energy: -2.3929 eV per atom.

a b c (Å): 5.5260 5.5260 5.5260
angles (deg): 60.00 60.00 60.00
Atoms (fractional coordinates):
K 0.2500 0.2500 0.2500
K 0.7500 0.7500 0.7500
H 0.0000 0.0000 0.0000
Ru 0.5000 0.5000 0.5000


Crystalline Ca12ZnHg6 at its relaxed geometry, computed with PBE.

The formation energy comes out at -0.25 eV/atom. The symmetry is R-3 (148).

a b c (Å): 8.8897 8.8897 8.8897
angles (deg): 99.38 99.38 99.38
Atoms (fractional coordinates):
Ca 0.0174 0.6756 0.9242
Ca 0.0758 0.9826 0.3244
Ca 0.1829 0.4199 0.5621
Ca 0.3244 0.0758 0.9826
Ca 0.4199 0.5621 0.1828
Ca 0.4379 0.8172 0.5801
Ca 0.5621 0.1828 0.4199
Ca 0.5801 0.4379 0.8172
Ca 0.6756 0.9242 0.0174
Ca 0.8172 0.5801 0.4379
Ca 0.9242 0.0174 0.6756
Ca 0.9826 0.3244 0.0758
Zn 0.0000 0.0000 0.0000
Hg 0.1311 0.6439 0.3122
Hg 0.3122 0.1311 0.6439
Hg 0.3561 0.6878 0.8689
Hg 0.6439 0.3122 0.1311
Hg 0.6878 0.8689 0.3561
Hg 0.8689 0.3561 0.6878


Crystalline Mg8TlPb2 at its relaxed geometry, computed with PBE.

The formation energy comes out at -0.02 eV/atom. The symmetry is P4/mmm (123).

a b c (Å): 4.6185 4.6185 12.8595
angles (deg): 90.00 90.00 90.00
Atoms (fractional coordinates):
Mg 0.0000 0.0000 0.1787
Mg 0.0000 0.0000 0.8213
Mg 0.0000 0.5000 0.0000
Mg 0.0000 0.5000 0.3550
Mg 0.0000 0.5000 0.6450
Mg 0.5000 0.0000 0.0000
Mg 0.5000 0.0000 0.3550
Mg 0.5000 0.0000 0.6450
Tl 0.5000 0.5000 0.5000
Pb 0.5000 0.5000 0.1732
Pb 0.5000 0.5000 0.8268


Crystalline AcSmF6 at its relaxed geometry, computed with PBE.

The symmetry is Amm2 (38). Its uncorrected formation energy is -4.05 eV per atom.

a b c (Å): 4.0566 5.3549 5.3549
angles (deg): 85.75 90.00 90.00
Atoms (fractional coordinates):
Ac 0.0000 0.0000 0.0000
Sm 0.5000 0.4785 0.4785
F 0.0000 0.3384 0.3384
F 0.0000 0.4446 0.7939
F 0.0000 0.7939 0.4446
F 0.5000 0.0862 0.6974
F 0.5000 0.1780 0.1780
F 0.5000 0.6974 0.0862


Crystalline Tc2C3 at its relaxed geometry, computed with PBE.

The formation energy comes out at 1.25 eV/atom. The symmetry is R-3m (166).

a b c (Å): 8.5023 8.5023 8.5023
angles (deg): 20.58 20.58 20.58
Atoms (fractional coordinates):
Tc 0.1104 0.1104 0.1104
Tc 0.8896 0.8896 0.8896
C 0.2606 0.2606 0.2606
C 0.5000 0.5000 0.5000
C 0.7394 0.7394 0.7394